Entry from Alexandria via LeMat-Bulk: a relaxed structure of PrSm4Dy10 (PBE).

abc: 6.5219 9.6815 9.6815
angles: 83.49 70.32 70.32
With the nearest neighbours (Å) after each atom.
Atoms (fractional coordinates):
Dy 0.0443 0.8361 0.5766  4 Dy 3.14-3.30, 3 Sm 3.39-3.51
Sm 0.4327 0.8946 0.2400  2 Sm 3.38, 6 Dy 3.39-3.51
Sm 0.5673 0.1054 0.7600  2 Sm 3.38, 6 Dy 3.39-3.51
Dy 0.1195 0.4234 0.8361  4 Dy 3.14-3.30, 3 Sm 3.39-3.51
Dy 0.8805 0.5766 0.1639  4 Dy 3.14-3.30, 3 Sm 3.39-3.51
Dy 0.2500 0.5000 0.5000  6 Dy 3.14-3.26
Dy 0.6210 0.4234 0.8361  4 Dy 3.14-3.30, 3 Sm 3.39-3.51
Dy 0.9557 0.1639 0.4234  4 Dy 3.14-3.30, 3 Sm 3.39-3.51
Pr 0.0000 0.0000 0.0000  8 Sm 4.04, 8 Dy 4.45
Sm 0.6727 0.7600 0.8946  2 Sm 3.38, 6 Dy 3.39-3.51
Dy 0.3790 0.5766 0.1639  4 Dy 3.14-3.30, 3 Sm 3.39-3.51
Sm 0.3273 0.2400 0.1054  2 Sm 3.38, 6 Dy 3.39-3.51
Dy 0.7500 0.5000 0.5000  6 Dy 3.14-3.26
Dy 0.4571 0.1639 0.4234  4 Dy 3.14-3.30, 3 Sm 3.39-3.51
Dy 0.5429 0.8361 0.5766  4 Dy 3.14-3.30, 3 Sm 3.39-3.51

Computed properties:
The value obtained for the total energy is -61.34 eV for the cell shown. As for the magnetization: 0.0 μB per formula unit. As for the space group: I4/m (87). As for the volume: 36.13 Å³/atom. The density of states at the Fermi level is 28.9 states/eV per cell. The formation energy is 0.556 eV per atom.

Entry from Alexandria via LeMat-Bulk: a relaxed structure of Pr8SmDy4 (PBE).

abc: 13.2905 13.8379 7.0554
angles: 102.87 122.90 128.17
With the nearest neighbours (Å) after each atom.
Atoms (fractional coordinates):
Pr 0.5907 0.7416 0.9038  7 Pr 3.48-3.87, 2 Dy 3.69-3.80, 1 Sm 3.70
Pr 0.8058 0.5388 0.3570  1 Sm 3.19, 3 Dy 3.24-3.54
Pr 0.9900 0.2407 0.8125  4 Pr 3.23-3.51
Dy 0.5422 0.1146 0.0477  1 Sm 3.38, 6 Pr 3.47-3.70, 2 Dy 3.49-3.69
Pr 0.2092 0.0966 0.8709  5 Dy 3.48-3.81, 5 Pr 3.53-3.78
Dy 0.1682 0.1422 0.3298  2 Dy 3.43-3.73, 8 Pr 3.45-3.83
Pr 0.9128 0.2093 0.2296  6 Pr 3.39-3.77, 3 Dy 3.47-3.80, 1 Sm 3.53
Pr 0.4894 0.1108 0.4978  4 Dy 3.53-3.66, 4 Pr 3.64-3.88, 1 Sm 3.90
Dy 0.1250 0.6275 0.1241  6 Pr 3.41-3.80, 2 Sm 3.44-3.71, 2 Dy 3.49-3.69
Pr 0.8562 0.6709 0.9900  5 Dy 3.53-3.83, 5 Pr 3.60-3.92
Sm 0.2251 0.6790 0.7293  3 Pr 3.17-3.53, 2 Dy 3.38-3.44
Dy 0.5424 0.5523 0.2227  2 Pr 3.04-3.24
Pr 0.5430 0.7756 0.3847  1 Dy 3.04, 1 Sm 3.17, 2 Pr 3.23-3.39

Computed properties:
The value obtained for the total energy is -59.63 eV for the cell shown. As for the magnetization: 0.0 μB per formula unit. As for the space group: P1 (1). As for the volume: 35.14 Å³/atom. The density of states at the Fermi level is 18.9 states/eV per cell. The formation energy is 0.133 eV per atom.

Entry from Alexandria via LeMat-Bulk: a relaxed structure of Pr4SmDy3 (PBE).

abc: 7.2659 7.2640 10.3249
angles: 90.00 90.00 90.00
With the nearest neighbours (Å) after each atom.
Atoms (fractional coordinates):
Dy 0.9999 0.3105 0.0000  8 Pr 3.63-3.64, 4 Dy 3.64
Sm 0.4997 0.3109 0.5000  8 Pr 3.63-3.64, 4 Dy 3.65
Dy 0.0001 0.8105 0.5000  8 Pr 3.63-3.64, 4 Dy 3.64
Pr 0.4998 0.8104 0.5000  2 Sm 3.63-3.64, 6 Dy 3.63-3.65, 4 Pr 3.64-3.65
Pr 0.5002 0.3104 0.0000  2 Sm 3.63-3.64, 6 Dy 3.63-3.65, 4 Pr 3.64-3.65
Pr 0.7508 0.0606 0.2503  6 Dy 3.62-3.65, 4 Pr 3.64-3.65, 2 Sm 3.64
Pr 0.2492 0.5606 0.7503  6 Dy 3.62-3.65, 4 Pr 3.64-3.65, 2 Sm 3.64
Pr 0.0000 0.3107 0.5000  6 Dy 3.63-3.64, 2 Sm 3.63, 4 Pr 3.64
Dy 0.2486 0.0605 0.2501  8 Pr 3.62-3.65, 2 Dy 3.64, 2 Sm 3.65
Dy 0.7514 0.5605 0.2499  8 Pr 3.62-3.65, 2 Dy 3.64, 2 Sm 3.65
Dy 0.7514 0.5605 0.7501  8 Pr 3.62-3.65, 2 Dy 3.64, 2 Sm 3.65
Pr 0.0000 0.8107 0.0000  6 Dy 3.63-3.64, 2 Sm 3.63, 4 Pr 3.64
Sm 0.5003 0.8109 0.0000  8 Pr 3.63-3.64, 4 Dy 3.65
Pr 0.7508 0.0606 0.7497  6 Dy 3.62-3.65, 4 Pr 3.64-3.65, 2 Sm 3.64
Pr 0.2492 0.5606 0.2497  6 Dy 3.62-3.65, 4 Pr 3.64-3.65, 2 Sm 3.64
Dy 0.2486 0.0605 0.7499  8 Pr 3.62-3.65, 2 Dy 3.64, 2 Sm 3.65

Computed properties:
The value obtained for the total energy is -75.00 eV for the cell shown. As for the magnetization: 0.0 μB per formula unit. As for the space group: Pmna (53). As for the volume: 34.06 Å³/atom. The density of states at the Fermi level is 24.6 states/eV per cell. The formation energy is 0.018 eV per atom. The value obtained for the distance to the lowest polymorph of the same formula is 0 meV/atom.